Here is a relaxed structure of Cs2TbCl6 from Alexandria via LeMat-Bulk. Energies are from PBE.

magnetization = 1.04 μB/f.u.
symmetry = C2/m (12)
uncorrected formation energy = -1.807 eV/atom
Fermi-level density of states = 5.152 states/eV/cell

a b c (Å): 5.0086 8.3148 9.0558
angles (deg): 117.33 102.35 90.00
Sites, in units of the cell vectors:
Cs 0.6592 0.6674 0.3347
Cs 0.3408 0.3326 0.6653
Tb 0.0000 0.0000 0.0000
Cl 0.1327 0.3430 0.2690
Cl 0.8673 0.0740 0.7310
Cl 0.8673 0.6570 0.7310
Cl 0.5000 0.1887 0.0000
Cl 0.1327 0.9260 0.2690
Cl 0.5000 0.8113 0.0000

=====

Here is a relaxed structure of Cs4TbCl6 from Alexandria via LeMat-Bulk. Energies are from PBE.

magnetization = 0.00 μB/f.u.
symmetry = P4/mnc (128)
uncorrected formation energy = -1.926 eV/atom
Fermi-level density of states = 7.726 states/eV/cell

a b c (Å): 10.1400 10.1400 10.4439
angles (deg): 90.00 90.00 90.00
Sites, in units of the cell vectors:
Cs 0.3063 0.1937 0.2500
Cs 0.1937 0.6937 0.7500
Cs 0.6937 0.8063 0.7500
Cs 0.8063 0.3063 0.7500
Cs 0.3063 0.1937 0.7500
Cs 0.1937 0.6937 0.2500
Cs 0.8063 0.3063 0.2500
Cs 0.6937 0.8063 0.2500
Tb 0.5000 0.5000 0.0000
Tb 0.0000 0.0000 0.5000
Cl 0.2572 0.9394 0.5000
Cl 0.7572 0.5606 0.0000
Cl 0.5606 0.2428 0.0000
Cl 0.0606 0.2572 0.5000
Cl 0.0000 0.0000 0.2439
Cl 0.5000 0.5000 0.2561
Cl 0.4394 0.7572 0.0000
Cl 0.0000 0.0000 0.7561
Cl 0.2428 0.4394 0.0000
Cl 0.5000 0.5000 0.7439
Cl 0.9394 0.7428 0.5000
Cl 0.7428 0.0606 0.5000

=====

Which of these has the lowest magnetization?
Cs4TbCl6